Material: Ac2AsPd6
Method: DFT, PBE
State: relaxed

a = 6.409 Å, b = 6.409 Å, c = 6.407 Å
α = 59.94°, β = 59.94°, γ = 59.96°
Element x y z (fractional)
Pd  0.777  0.223  0.223
Pd  0.777  0.777  0.224
Pd  0.223  0.777  0.223
Pd  0.777  0.223  0.777
Pd  0.223  0.223  0.776
Pd  0.223  0.777  0.777
Ac  0.750  0.750  0.750
Ac  0.250  0.250  0.250
As  0.500  0.500  0.500

Summary:
Theoretical density (g/cm³): 10.428
Final energy (eV per formula unit): -51.001
Fermi-level density of states (states/eV/cell): 4.3
E_form (eV/atom): -0.775
Space group: C2/m, No. 12